This record from OQMD describes a geometry-optimized TbErZn2Sn2 structure. The functional is PBE.

## Properties
Total energy = -46.3 eV/cell
V = 23.02 A^3/atom
SG = P6_3/mmc (194)

abc: 4.5002 4.5002 15.7489
angles: 90.00 90.00 120.00
Closest atoms and distances in Å follow each position.
Fractional coordinates of all 12 atoms:
Tb 0.0000 0.0000 0.2500  6 Zn 2.96
Tb 0.0000 0.0000 0.7500  6 Zn 2.96
Er 0.0000 0.0000 0.0000  6 Sn 3.14
Er 0.0000 0.0000 0.5000  6 Sn 3.14
Zn 0.3333 0.6667 0.1597  3 Sn 2.70, 1 Zn 2.84, 3 Tb 2.96
Zn 0.3333 0.6667 0.3403  3 Sn 2.70, 1 Zn 2.84, 3 Tb 2.96
Zn 0.6667 0.3333 0.6597  3 Sn 2.70, 1 Zn 2.84, 3 Tb 2.96
Zn 0.6667 0.3333 0.8403  3 Sn 2.70, 1 Zn 2.84, 3 Tb 2.96
Sn 0.3333 0.6667 0.6120  3 Zn 2.70
Sn 0.3333 0.6667 0.8880  3 Zn 2.70
Sn 0.6667 0.3333 0.1120  3 Zn 2.70
Sn 0.6667 0.3333 0.3880  3 Zn 2.70